Record 1
A plane-wave DFT calculation with PBE-GGA was carried out for a geometry-optimized HfScCuPb structure.

Lattice parameters (Å, degrees): 6.953 6.953 6.953 90.00 90.00 90.00
Space group F-43m (No. 216)
One atom of each set of equivalent atoms:
Hf (0.000, 0.000, 0.000)
Sc (0.250, 0.250, 0.250)
Cu (0.250, 0.250, 0.750)
Pb (0.000, 0.000, 0.500)

Properties
E above lowest polymorph, meV/atom: 0
Energy, eV/cell: -89.52



Record 2
A plane-wave DFT calculation with PBE-GGA was carried out for a geometry-optimized HfScCu2Pb2 structure.

Lattice parameters (Å, degrees): 4.5397 4.5397 6.6800 90.00 90.00 120.00
Space group P3m1 (No. 156)
One atom of each set of equivalent atoms:
Hf (0.0000, 0.0000, 0.0000)
Sc (0.0000, 0.0000, 0.5004)
Cu (0.3333, 0.6667, 0.8302)
Cu (0.6667, 0.3333, 0.3123)
Pb (0.3333, 0.6667, 0.2455)
Pb (0.6667, 0.3333, 0.7360)

Properties
Energy, eV/cell: -31.90



Record 3
A plane-wave DFT calculation with PBE-GGA was carried out for a geometry-optimized SmHfCu2Pb2 structure.

Lattice parameters (Å, degrees): 4.5775 4.5775 7.1444 90.00 90.00 120.00
Space group P3m1 (No. 156)
One atom of each set of equivalent atoms:
Sm (0.0000, 0.0000, 0.0000)
Hf (0.0000, 0.0000, 0.5002)
Cu (0.3333, 0.6667, 0.3370)
Cu (0.6667, 0.3333, 0.6657)
Pb (0.3333, 0.6667, 0.7498)
Pb (0.6667, 0.3333, 0.2501)

Properties
Energy, eV/cell: -30.76